InCuNiF6 | the Alexandria database | GGA+U | relaxed; SG = No. 163; magnetization = 4.3 μB per cell; uncorrected energy = -77.1 eV/cell
1.0
5.466 0.000 0.000
-2.733 4.733 0.000
0.000 0.000 9.206
In Cu Ni F
2 2 2 12
Direct
0.333 0.667 0.250 In
0.667 0.333 0.750 In
0.000 0.000 0.000 Cu
0.000 0.000 0.500 Cu
0.333 0.667 0.750 Ni
0.667 0.333 0.250 Ni
0.013 0.355 0.632 F
0.013 0.658 0.868 F
0.342 0.355 0.868 F
0.342 0.987 0.632 F
0.355 0.013 0.132 F
0.355 0.342 0.368 F
0.645 0.658 0.632 F
0.645 0.987 0.868 F
0.658 0.013 0.368 F
0.658 0.645 0.132 F
0.987 0.342 0.132 F
0.987 0.645 0.368 F